Crystalline Ta2MoO at its relaxed geometry, computed with PBE+U.

```
Ta2MoO
1.0
-3.228 0.174 6.495
1.967 -6.886 1.163
1.388 -2.613 4.812
Ta Mo O
4 2 2
Cartesian
0.790 -4.914 3.512
0.802 -5.293 6.619
-1.041 -1.426 4.637
-0.295 -7.015 10.171
0.000 0.000 0.000
-1.235 -2.897 7.568
1.363 -6.427 4.902
-0.630 -3.356 3.829
```

## Properties
The density of states at the Fermi level comes out at 0.63 states/eV/atom. The calculation puts the total energy at -9.04 eV per atom. The space group is I-42d (122). The calculation puts the volume at 15.6 Å³/atom.